# GGA-PBE KSrLa2Br, optimized geometry
# N(E_F), states/eV per atom: 1.701
# E above lowest polymorph, kJ/mol of formula units: 0
# Magnetization, Bohr magnetons per cell: 1.04
# ΔE_f (raw), eV per atom: 0.691
data_KSrLa2Br
_chemical_formula_sum 'K1 Sr1 La2 Br1'
_cell_length_a 6.145
_cell_length_b 6.145
_cell_length_c 7.029
_cell_angle_alpha 90.00
_cell_angle_beta 90.00
_cell_angle_gamma 90.00
_symmetry_space_group_name_H-M 'P 4/m m m'
_symmetry_Int_Tables_number 123
_symmetry_space_group_name_Hall '-P 4 2'
loop_
_atom_site_label
_atom_site_fract_x
_atom_site_fract_y
_atom_site_fract_z
_atom_site_occupancy
K1 0.000 0.000 0.000 1
Sr1 0.000 0.000 0.500 1
La1 0.000 0.500 0.500 1
Br1 0.500 0.500 0.000 1